Entry 1:
First-principles (GGA-PBE) data for a relaxed structure of Tb2TmScTe6, as listed in the Alexandria database.

a b c (Å): 7.5939 7.5941 8.1869
angles (deg): 62.36 62.37 60.00
Positions (direct):
Tb: 0.5113 0.5114 0.4659
Tb: 0.0101 0.0101 0.9697
Tm: 0.8253 0.8253 0.5241
Sc: 0.3266 0.3266 0.0203
Te: 0.5862 0.2244 0.2524
Te: 0.2244 0.9370 0.2524
Te: 0.9370 0.5862 0.2523
Te: 0.4269 0.7168 0.7594
Te: 0.7168 0.0970 0.7593
Te: 0.0969 0.4268 0.7593

Results
The space-group type is R3 (146). The value obtained for the volume is 345.3 Å³/cell. The calculation puts the uncorrected formation energy at -1308 meV per atom. The raw total energy is -5.199 eV/atom.

=====

Entry 2:
First-principles (GGA-PBE) data for a relaxed structure of TaAl2Pt, as listed in the Alexandria database.

a b c (Å): 8.9746 8.9746 8.9746
angles (deg): 18.70 18.70 18.70
Positions (direct):
Al: 0.9953 0.9953 0.9953
Al: 0.5047 0.5047 0.5047
Pt: 0.2500 0.2500 0.2500
Ta: 0.7500 0.7500 0.7500

Results
The space-group type is R-3m (166). For the density of states at the Fermi level, the calculation gives 4.5 states/eV/f.u. The value obtained for the volume is 64.9 Å³/cell. For the formation energy, the calculation gives -0.4047 eV per atom. The raw total energy is -6.749 eV/atom.

=====

Entry 3:
First-principles (GGA-PBE) data for a relaxed structure of Cu2NiPS4, as listed in the Alexandria database.

a b c (Å): 5.1642 5.1637 6.3129
angles (deg): 114.13 114.14 90.02
Positions (direct):
Cu: 0.4856 0.9858 0.9712
Cu: 0.2359 0.2358 0.4713
Ni: 0.9860 0.4859 0.9722
P: 0.7359 0.7360 0.4720
S: 0.6305 0.6167 0.7184
S: 0.8549 0.3838 0.2255
S: 0.3704 0.8414 0.2253
S: 0.0878 0.1017 0.7182

Results
The space-group type is C2 (5). For the density of states at the Fermi level, the calculation gives 5.4 states/eV/f.u. The value obtained for the volume is 137.3 Å³/cell. The calculation puts the uncorrected formation energy at -226 meV per atom. The raw total energy is -4.712 eV/atom.